1.
An optimized crystal structure of Ac2TmAlSe6, computed with PBE.

Cell lengths 7.3830, 7.1937, 7.4142 Å; angles 119.02, 121.55, 90.00 degrees
Sites, in units of the cell vectors:
Ac  0.2319  0.2550  0.5100
Ac  0.7681  0.7450  0.4900
Tm  0.0000  0.5000  0.0000
Al  0.5000  0.0000  0.0000
Se  0.3653  0.7612  0.5224
Se  0.2034  0.1826  0.8810
Se  0.7966  0.3015  0.1190
Se  0.2034  0.6985  0.8810
Se  0.7966  0.8174  0.1190
Se  0.6347  0.2388  0.4776

DFT total energy (eV per cell): -53.5
Formation energy from raw total energies (meV per atom): -1618
Calculated density (g/cm³): 6.76

2.
An optimized crystal structure of PrSm2Ag, computed with PBE.

Cell lengths 3.6899, 5.6367, 5.6367 Å; angles 90.00, 90.00, 90.00 degrees
Sites, in units of the cell vectors:
Pr  0.5000  0.5000  0.5000
Ag  0.5000  0.0000  0.0000
Sm  0.0000  0.0000  0.5000
Sm  0.0000  0.5000  0.0000

Energy above the most stable polymorph in this dataset (meV/atom): 126
DFT total energy (eV per cell): -17.0
Calculated density (g/cm³): 7.78
ΔH_f (0 K) (kJ per mole of atoms): 1

3.
An optimized crystal structure of K3Sr, computed with PBE.

Cell lengths 7.2880, 4.3321, 8.5777 Å; angles 80.43, 90.00, 90.00 degrees
Sites, in units of the cell vectors:
Sr  0.5000  0.2500  0.2500
K  0.0000  0.9517  0.0059
K  0.5000  0.7500  0.7500
K  0.0000  0.5483  0.4941

Energy above the most stable polymorph in this dataset (meV/atom): 28
DFT total energy (eV per cell): -4.6
Calculated density (g/cm³): 1.27
ΔH_f (0 K) (kJ per mole of atoms): 8

4.
An optimized crystal structure of CsCa2NdBr8, computed with PBE.

Cell lengths 7.1899, 6.9140, 9.3834 Å; angles 89.92, 89.94, 89.17 degrees
Sites, in units of the cell vectors:
Cs  0.0000  0.0000  0.5000
Ca  0.5001  0.4999  0.7459
Ca  0.4999  0.5001  0.2541
Nd  0.0000  0.0000  0.0000
Br  0.1709  0.7460  0.2085
Br  0.6706  0.7369  0.9999
Br  0.8282  0.2532  0.2082
Br  0.8291  0.2540  0.7915
Br  0.3294  0.2631  0.0001
Br  0.1718  0.7468  0.7918
Br  0.6042  0.7286  0.4997
Br  0.3958  0.2714  0.5003

DFT total energy (eV per cell): -45.7
Formation energy from raw total energies (meV per atom): -1889
Calculated density (g/cm³): 3.55

5.
An optimized crystal structure of P2OsPb, computed with PBE.

Cell lengths 4.2569, 4.2569, 6.2148 Å; angles 77.85, 77.85, 48.80 degrees
Sites, in units of the cell vectors:
Os  0.2307  0.2307  0.0823
P  0.9277  0.9277  0.1095
P  0.7787  0.7787  0.8192
Pb  0.5629  0.5629  0.4889

DFT total energy (eV per cell): -25.5
Calculated density (g/cm³): 9.25
ΔH_f (0 K) (kJ per mole of atoms): 6

6.
An optimized crystal structure of Cs2YCd, computed with PBE.

Cell lengths 10.2575, 10.2575, 10.2575 Å; angles 94.88, 94.88, 146.08 degrees
Sites, in units of the cell vectors:
Cs  0.0173  0.3750  0.1423
Cs  0.2327  0.8750  0.8577
Cs  0.1250  0.9827  0.3577
Cs  0.6250  0.7673  0.6423
Y  0.5000  0.5000  0.0000
Y  0.7500  0.2500  0.5000
Cd  0.0000  0.0000  0.0000
Cd  0.2500  0.7500  0.5000

Energy above the most stable polymorph in this dataset (meV/atom): 0
DFT total energy (eV per cell): -14.1
Calculated density (g/cm³): 2.69
ΔH_f (0 K) (kJ per mole of atoms): 49

7.
An optimized crystal structure of SrNi2P, computed with PBE.

Cell lengths 3.2132, 3.2132, 6.5591 Å; angles 90.00, 90.00, 90.00 degrees
Sites, in units of the cell vectors:
Sr  0.5000  0.5000  0.7496
Ni  0.0000  0.0000  0.0742
Ni  0.5000  0.5000  0.2740
P  0.0000  0.0000  0.4022

DFT total energy (eV per cell): -19.1
Calculated density (g/cm³): 5.79
ΔH_f (0 K) (kJ per mole of atoms): -11

8.
An optimized crystal structure of SrSb2Cl, computed with PBE.

Cell lengths 3.9874, 3.9874, 7.7300 Å; angles 90.00, 90.00, 90.00 degrees
Sites, in units of the cell vectors:
Cl  0.5000  0.5000  0.6871
Sb  0.0000  0.0000  0.0649
Sb  0.5000  0.5000  0.2126
Sr  0.0000  0.0000  0.5354

Energy above the most stable polymorph in this dataset (meV/atom): 66
DFT total energy (eV per cell): -15.7
Formation energy from raw total energies (meV per atom): -971
Calculated density (g/cm³): 4.95

9.
An optimized crystal structure of TcGe2Pt, computed with PBE.

Cell lengths 5.7377, 5.7377, 6.6777 Å; angles 64.56, 64.56, 90.00 degrees
Sites, in units of the cell vectors:
Ge  0.6221  0.1250  0.2500
Ge  0.1279  0.6250  0.2500
Ge  0.3750  0.3779  0.7500
Ge  0.8750  0.8721  0.7500
Tc  0.5000  0.5000  0.0000
Tc  0.2500  0.7500  0.5000
Pt  0.0000  0.0000  0.0000
Pt  0.7500  0.2500  0.5000

Energy above the most stable polymorph in this dataset (meV/atom): 501
DFT total energy (eV per cell): -48.5
Calculated density (g/cm³): 8.34
ΔH_f (0 K) (kJ per mole of atoms): 34

10.
An optimized crystal structure of ScSe2O6F2, computed with PBE.

Cell lengths 5.5428, 5.5428, 6.8876 Å; angles 90.00, 90.00, 120.00 degrees
Sites, in units of the cell vectors:
Sc  0.0000  0.0000  0.0000
Se  0.3333  0.6667  0.7561
Se  0.6667  0.3333  0.2439
O  0.2619  0.3463  0.8258
O  0.0844  0.7381  0.8258
O  0.6537  0.9156  0.8258
O  0.7381  0.6537  0.1742
O  0.9156  0.2619  0.1742
O  0.3463  0.0844  0.1742
F  0.3333  0.6667  0.4893
F  0.6667  0.3333  0.5107

DFT total energy (eV per cell): -61.9
Formation energy from raw total energies (meV per atom): -1377
Calculated density (g/cm³): 3.05

11.
An optimized crystal structure of NpCuSN, computed with PBE.

Cell lengths 3.8038, 3.8038, 10.0916 Å; angles 79.14, 79.14, 60.00 degrees
Last column: magnetic moment on the atom in μB.
Sites, in units of the cell vectors:
Np  0.6194  0.6194  0.1417  3.12
Np  0.3806  0.3806  0.8583  3.12
Cu  0.8059  0.8059  0.5823  -0.03
Cu  0.1941  0.1941  0.4177  -0.03
S  0.1125  0.1125  0.6624  -0.06
S  0.8875  0.8875  0.3376  -0.06
N  0.6948  0.6948  0.9157  -0.18
N  0.3052  0.3052  0.0843  -0.18

DFT total energy (eV per cell): -66.5
Formation energy from raw total energies (meV per atom): -938
Calculated density (g/cm³): 9.33

12.
An optimized crystal structure of LiZnBi, computed with PBE.

Cell lengths 3.9850, 3.9850, 5.0119 Å; angles 113.43, 113.43, 90.00 degrees
Sites, in units of the cell vectors:
Zn  0.2954  0.2954  0.5908
Bi  0.9455  0.9455  0.8910
Li  0.6091  0.6091  0.2183

DFT total energy (eV per cell): -7.4
Calculated density (g/cm³): 7.10
ΔH_f (0 K) (kJ per mole of atoms): -11

13.
An optimized crystal structure of SrScAg, computed with PBE.

Cell lengths 5.1253, 5.1253, 5.1253 Å; angles 60.00, 60.00, 60.00 degrees
Last column: magnetic moment on the atom in μB.
Sites, in units of the cell vectors:
Ag  0.0000  0.0000  0.0000  0.01
Sc  0.5000  0.5000  0.5000  0.21
Sr  0.7500  0.7500  0.7500  0.02

Energy above the most stable polymorph in this dataset (meV/atom): 855
DFT total energy (eV per cell): -8.4
Calculated density (g/cm³): 4.19
ΔH_f (0 K) (kJ per mole of atoms): 78

14.
An optimized crystal structure of Ti5C4O, computed with PBE.

Cell lengths 3.0646, 4.3263, 8.1085 Å; angles 105.47, 100.89, 90.00 degrees
Sites, in units of the cell vectors:
Ti  0.6071  0.1071  0.2141
Ti  0.8005  0.3005  0.6011
Ti  0.1995  0.6995  0.3989
Ti  0.0000  0.5000  0.0000
Ti  0.3929  0.8929  0.7859
C  0.4017  0.4017  0.8033
C  0.8014  0.8014  0.6029
C  0.1986  0.1986  0.3971
C  0.5983  0.5983  0.1967
O  0.0000  0.0000  0.0000

DFT total energy (eV per cell): -93.4
Formation energy from raw total energies (meV per atom): -1208
Calculated density (g/cm³): 4.96

15.
An optimized crystal structure of GaMoS3, computed with PBE.

Cell lengths 4.6288, 4.6288, 4.6288 Å; angles 90.00, 90.00, 90.00 degrees
Last column: magnetic moment on the atom in μB.
Sites, in units of the cell vectors:
Mo  0.5000  0.5000  0.5000  3.20
S  0.0000  0.5000  0.0000  -0.29
S  0.0000  0.0000  0.5000  -0.18
S  0.5000  0.0000  0.0000  -0.21
Ga  0.0000  0.0000  0.0000  0.03

Energy above the most stable polymorph in this dataset (meV/atom): 811
DFT total energy (eV per cell): -22.7
Formation energy from raw total energies (meV per atom): 703
Calculated density (g/cm³): 4.38

16.
An optimized crystal structure of CrCdSbI2, computed with PBE.

Cell lengths 5.5183, 5.5183, 5.3614 Å; angles 90.00, 90.00, 90.00 degrees
Last column: magnetic moment on the atom in μB.
Sites, in units of the cell vectors:
I  0.0000  0.5000  0.0000  -0.01
I  0.5000  0.0000  0.0000  -0.01
Sb  0.0000  0.0000  0.5000  -0.27
Cr  0.0000  0.0000  0.0000  3.23
Cd  0.5000  0.5000  0.5000  0.00

Energy above the most stable polymorph in this dataset (meV/atom): 0
DFT total energy (eV per cell): -16.6
Formation energy from raw total energies (meV per atom): 229
Calculated density (g/cm³): 5.49

17.
An optimized crystal structure of TmInGa2Br6, computed with PBE.

Cell lengths 7.7921, 7.7960, 8.2811 Å; angles 61.89, 61.90, 59.92 degrees
Sites, in units of the cell vectors:
Tm  0.3253  0.3253  0.0239
In  0.8149  0.8152  0.5548
Ga  0.5178  0.5172  0.4478
Ga  0.0081  0.0082  0.9753
Br  0.5648  0.2326  0.2352
Br  0.2325  0.9675  0.2354
Br  0.9672  0.5654  0.2350
Br  0.3997  0.6963  0.7691
Br  0.6969  0.1342  0.7694
Br  0.1344  0.3997  0.7694

DFT total energy (eV per cell): -34.2
Formation energy from raw total energies (meV per atom): -1090
Calculated density (g/cm³): 4.10

18.
An optimized crystal structure of KZrTl, computed with PBE.

Cell lengths 5.5141, 5.5141, 3.3333 Å; angles 90.00, 90.00, 120.00 degrees
Sites, in units of the cell vectors:
Tl  0.0000  0.0000  0.0000
K  0.6667  0.3333  0.5000
Zr  0.3333  0.6667  0.0000

Energy above the most stable polymorph in this dataset (meV/atom): 556
DFT total energy (eV per cell): -10.3
Calculated density (g/cm³): 6.33
ΔH_f (0 K) (kJ per mole of atoms): 56

19.
An optimized crystal structure of InFeCu2, computed with PBE.

Cell lengths 8.6972, 8.6972, 8.6972 Å; angles 18.96, 18.96, 18.96 degrees
Last column: magnetic moment on the atom in μB.
Sites, in units of the cell vectors:
Cu  0.9931  0.9931  0.9931  0.07
Cu  0.5069  0.5069  0.5069  0.07
Fe  0.2500  0.2500  0.2500  2.89
In  0.7500  0.7500  0.7500  0.02

DFT total energy (eV per cell): -17.8
Calculated density (g/cm³): 8.14
ΔH_f (0 K) (kJ per mole of atoms): 38

20.
An optimized crystal structure of ReHgCl6, computed with PBE.

Cell lengths 6.7016, 7.7268, 7.7270 Å; angles 113.96, 109.68, 109.68 degrees
Last column: magnetic moment on the atom in μB.
Sites, in units of the cell vectors:
Re  0.0000  0.0000  0.0000  2.23
Hg  0.5000  0.5000  0.5000  0.07
Cl  0.0184  0.7265  0.7265  0.04
Cl  0.6761  0.6952  0.9504  0.04
Cl  0.3239  0.3048  0.0496  0.04
Cl  0.9816  0.2735  0.2735  0.04
Cl  0.3239  0.0496  0.3048  0.04
Cl  0.6761  0.9504  0.6952  0.04

DFT total energy (eV per cell): -28.2
Formation energy from raw total energies (meV per atom): -549
Calculated density (g/cm³): 3.46